LuGaFeHg: relaxed, GGA-PBE.

Summary:
**Space-group type**: No. 216
**Calculated total energy**: -4.105 eV per atom
**Relative energy among the computed polymorphs**: 0 meV/atom

abc: 4.739 4.739 4.739
angles: 60.00 60.00 60.00
Sites, in units of the cell vectors:
Fe 0.750 0.750 0.750
Ga 0.000 0.000 0.000
Hg 0.500 0.500 0.500
Lu 0.250 0.250 0.250

=====

Sc2In3Hg3: relaxed, GGA-PBE.

Summary:
**Space-group type**: No. 187
**Calculated total energy**: -2.959 eV per atom
**Relative energy among the computed polymorphs**: 4 meV/atom

abc: 6.437 6.437 5.046
angles: 90.00 90.00 120.00
Sites, in units of the cell vectors:
Hg 0.325 0.162 0.000
Hg 0.838 0.162 0.000
Hg 0.838 0.675 0.000
In 0.501 0.003 0.500
In 0.501 0.499 0.500
In 0.997 0.499 0.500
Sc 0.333 0.667 0.000
Sc 0.000 0.000 0.500

=====

LaPr2Nb2As6: relaxed, GGA-PBE.

Summary:
**Space-group type**: No. 139
**Calculated total energy**: -6.527 eV per atom

abc: 12.473 12.473 12.473
angles: 157.27 157.27 32.36
Sites, in units of the cell vectors:
As 0.291 0.291 0.000
As 0.709 0.709 0.000
As 0.582 0.082 0.500
As 0.918 0.418 0.500
As 0.082 0.582 0.500
As 0.418 0.918 0.500
La 0.000 0.000 0.000
Nb 0.391 0.391 0.000
Nb 0.609 0.609 0.000
Pr 0.166 0.166 0.000
Pr 0.834 0.834 0.000